Entry P
VASP calculation (PBE-GGA) on a geometry-optimized HoErSc2 structure.

It has space group Fm-3m (No. 225), with a = 7.614 Å, b = 7.614 Å, c = 7.614 Å, α = 90.00°, β = 90.00° and γ = 90.00°. The asymmetric unit holds Ho at (0.000, 0.000, 0.000), Er at (0.000, 0.000, 0.500) and Sc at (0.250, 0.250, 0.250).

The volume comes out at 441.3 Å³/cell. Its mass density is 6.353 g/cm³.

=====

Entry Q
VASP calculation (PBE-GGA) on a geometry-optimized HoErSc2 structure.

It has space group P-3m1 (No. 164), with a = 3.4075 Å, b = 3.4075 Å, c = 10.8977 Å, α = 90.00°, β = 90.00° and γ = 120.00°. The asymmetric unit holds Ho at (0.0000, 0.0000, 0.0000), Er at (0.0000, 0.0000, 0.5000) and Sc at (0.3333, 0.6667, 0.2505).

The volume comes out at 109.6 Å³/cell. Its mass density is 6.397 g/cm³.

=====

The energy of each structure relative to the most stable one, in kJ/mol of atoms, is as follows: entry P 5.2; entry Q 0.0.

=====

Entry P
VASP calculation (PBE-GGA) on a geometry-optimized Ho4Er6Sc structure.

It has space group I-42m (No. 121), with a = 6.436 Å, b = 6.436 Å, c = 16.862 Å, α = 90.00°, β = 90.00° and γ = 90.00°. The asymmetric unit holds Ho at (0.180, 0.180, 0.366), Er at (0.000, 0.500, 0.000), Er at (0.185, 0.185, 0.170) and Sc at (0.000, 0.000, 0.000).

The volume comes out at 698.6 Å³/cell. Its mass density is 8.121 g/cm³.

=====

Entry Q
VASP calculation (PBE-GGA) on a geometry-optimized Ho4Er6Sc structure.

It has space group Cmcm (No. 63), with a = 5.526 Å, b = 9.541 Å, c = 25.338 Å, α = 90.00°, β = 90.00° and γ = 90.00°. The asymmetric unit holds Ho at (0.000, 0.004, 0.122), Ho at (0.000, 0.334, 0.043), Er at (0.000, 0.000, 0.000), Er at (0.000, 0.002, 0.250), Er at (0.000, 0.330, 0.607), Er at (0.000, 0.336, 0.183) and Sc at (0.000, 0.331, 0.750).

The volume comes out at 1335.9 Å³/cell. Its mass density is 8.493 g/cm³.

=====

The energy of each structure relative to the most stable one, in kJ/mol of atoms, is as follows: entry P 15.3; entry Q 0.0.

=====

Entry P
VASP calculation (PBE-GGA) on a geometry-optimized Ho3Er8Sc3 structure.

It has space group Imm2 (No. 44), with a = 10.470 Å, b = 14.490 Å, c = 5.479 Å, α = 90.00°, β = 90.00° and γ = 90.00°. The asymmetric unit holds Ho at (0.000, 0.000, 0.000), Ho at (0.200, 0.000, 0.500), Er at (0.156, 0.277, 0.000), Er at (0.156, 0.396, 0.500), Sc at (0.000, 0.184, 0.501) and Sc at (0.000, 0.500, 0.999).

The volume comes out at 831.1 Å³/cell. Its mass density is 7.863 g/cm³.

=====

Entry Q
VASP calculation (PBE-GGA) on a geometry-optimized Ho3Er8Sc3 structure.

It has space group Immm (No. 71), with a = 5.296 Å, b = 11.834 Å, c = 13.394 Å, α = 90.00°, β = 90.00° and γ = 90.00°. The asymmetric unit holds Ho at (0.000, 0.000, 0.000), Ho at (0.000, 0.292, 0.000), Er at (0.000, 0.141, 0.252), Er at (0.000, 0.362, 0.387), Sc at (0.000, 0.000, 0.500) and Sc at (0.000, 0.500, 0.165).

The volume comes out at 839.4 Å³/cell. Its mass density is 7.785 g/cm³.

=====

The energy of each structure relative to the most stable one, in kJ/mol of atoms, is as follows: entry P 0.0; entry Q 3.1.

=====

Entry P
VASP calculation (PBE-GGA) on a geometry-optimized Ho3Er4Sc4 structure.

It has space group P-1 (No. 2), with a = 3.383 Å, b = 5.380 Å, c = 17.410 Å, α = 98.86°, β = 95.56° and γ = 90.00°. The asymmetric unit holds Ho at (0.000, 0.000, 0.000), Ho at (0.138, 0.639, 0.276), Er at (0.318, 0.818, 0.636), Er at (0.453, 0.453, 0.906), Sc at (0.266, 0.266, 0.532) and Sc at (0.408, 0.908, 0.817).

The volume comes out at 311.5 Å³/cell. Its mass density is 7.162 g/cm³.

=====

Entry Q
VASP calculation (PBE-GGA) on a geometry-optimized Ho3Er4Sc4 structure.

It has space group Immm (No. 71), with a = 3.434 Å, b = 4.820 Å, c = 37.656 Å, α = 90.00°, β = 90.00° and γ = 90.00°. The asymmetric unit holds Ho at (0.000, 0.000, 0.000), Ho at (0.000, 0.000, 0.363), Er at (0.000, 0.000, 0.184), Er at (0.000, 0.000, 0.453), Sc at (0.000, 0.000, 0.092) and Sc at (0.000, 0.000, 0.271).

The volume comes out at 623.2 Å³/cell. Its mass density is 7.160 g/cm³.

=====

The energy of each structure relative to the most stable one, in kJ/mol of atoms, is as follows: entry P 1.9; entry Q 0.0.

=====

Entry P
VASP calculation (PBE-GGA) on a geometry-optimized Ho3Er4Sc2 structure.

It has space group C2/c (No. 15), with a = 16.076 Å, b = 11.251 Å, c = 5.877 Å, α = 90.00°, β = 96.94° and γ = 90.00°. The asymmetric unit holds Ho at (0.000, 0.143, 0.250), Ho at (0.170, 0.347, 0.080), Er at (0.065, 0.386, 0.546), Er at (0.221, 0.106, 0.392) and Sc at (0.100, 0.115, 0.796).

The volume comes out at 1055.2 Å³/cell. Its mass density is 7.892 g/cm³.

=====

Entry Q
VASP calculation (PBE-GGA) on a geometry-optimized Ho3Er4Sc2 structure.

It has space group C2/c (No. 15), with a = 16.660 Å, b = 9.735 Å, c = 6.611 Å, α = 90.00°, β = 93.42° and γ = 90.00°. The asymmetric unit holds Ho at (0.000, 0.010, 0.250), Ho at (0.153, 0.454, 0.240), Er at (0.017, 0.319, 0.514), Er at (0.188, 0.123, 0.407) and Sc at (0.165, 0.213, 0.890).

The volume comes out at 1070.3 Å³/cell. Its mass density is 7.780 g/cm³.

=====

The energy of each structure relative to the most stable one, in kJ/mol of atoms, is as follows: entry P 1.4; entry Q 0.0.

=====

Entry P
VASP calculation (PBE-GGA) on a geometry-optimized HoErSc3 structure.

It has space group P2_1/m (No. 11), with a = 5.927 Å, b = 5.321 Å, c = 9.074 Å, α = 90.00°, β = 109.01° and γ = 90.00°. The asymmetric unit holds Ho at (0.138, 0.250, 0.102), Er at (0.262, 0.750, 0.697), Sc at (0.075, 0.750, 0.304), Sc at (0.338, 0.250, 0.502) and Sc at (0.472, 0.750, 0.102).

The volume comes out at 270.5 Å³/cell. Its mass density is 5.733 g/cm³.

=====

Entry Q
VASP calculation (PBE-GGA) on a geometry-optimized HoErSc3 structure.

It has space group P-1 (No. 2), with a = 6.213 Å, b = 6.247 Å, c = 8.225 Å, α = 80.14°, β = 71.12° and γ = 63.20°. The asymmetric unit holds Ho at (0.200, 0.211, 0.032), Er at (0.244, 0.652, 0.193), Sc at (0.152, 0.147, 0.429), Sc at (0.308, 0.857, 0.748) and Sc at (0.333, 0.383, 0.627).

The volume comes out at 269.5 Å³/cell. Its mass density is 5.756 g/cm³.

=====

The energy of each structure relative to the most stable one, in kJ/mol of atoms, is as follows: entry P 0.0; entry Q 2.3.

=====

Entry P
VASP calculation (PBE-GGA) on a geometry-optimized Ho2Er5Sc5 structure.

It has space group C2/m (No. 12), with a = 14.448 Å, b = 4.809 Å, c = 10.790 Å, α = 90.00°, β = 116.51° and γ = 90.00°. The asymmetric unit holds Ho at (0.083, 0.000, 0.246), Er at (0.000, 0.500, 0.000), Er at (0.087, 0.500, 0.752), Er at (0.165, 0.500, 0.499), Sc at (0.000, 0.000, 0.500), Sc at (0.171, 0.000, 0.001) and Sc at (0.250, 0.000, 0.753).

The volume comes out at 670.9 Å³/cell. Its mass density is 6.885 g/cm³.

=====

Entry Q
VASP calculation (PBE-GGA) on a geometry-optimized Ho2Er5Sc5 structure.

It has space group C2/m (No. 12), with a = 16.019 Å, b = 5.396 Å, c = 9.339 Å, α = 90.00°, β = 123.13° and γ = 90.00°. The asymmetric unit holds Ho at (0.092, 0.000, 0.425), Er at (0.000, 0.000, 0.000), Er at (0.180, 0.000, 0.860), Er at (0.235, 0.500, 0.701), Sc at (0.000, 0.500, 0.500), Sc at (0.070, 0.500, 0.874) and Sc at (0.152, 0.500, 0.275).

The volume comes out at 676.1 Å³/cell. Its mass density is 6.833 g/cm³.

=====

The energy of each structure relative to the most stable one, in kJ/mol of atoms, is as follows: entry P 0.0; entry Q 3.2.

=====

Entry P
VASP calculation (PBE-GGA) on a geometry-optimized HoEr3Sc4 structure.

It has space group Pmn2_1 (No. 31), with a = 10.723 Å, b = 6.903 Å, c = 5.982 Å, α = 90.00°, β = 90.00° and γ = 90.00°. The asymmetric unit holds Ho at (0.000, 0.133, 0.000), Er at (0.000, 0.868, 0.500), Er at (0.250, 0.133, 0.341), Sc at (0.000, 0.382, 0.507), Sc at (0.000, 0.618, 0.007) and Sc at (0.250, 0.382, 0.834).

The volume comes out at 442.8 Å³/cell. Its mass density is 6.349 g/cm³.

=====

Entry Q
VASP calculation (PBE-GGA) on a geometry-optimized HoEr3Sc4 structure.

It has space group Pmmm (No. 47), with a = 3.721 Å, b = 5.436 Å, c = 10.871 Å, α = 90.00°, β = 90.00° and γ = 90.00°. The asymmetric unit holds Ho at (0.000, 0.000, 0.000), Er at (0.000, 0.000, 0.500), Er at (0.000, 0.500, 0.250), Sc at (0.500, 0.000, 0.251), Sc at (0.500, 0.500, 0.000) and Sc at (0.500, 0.500, 0.500).

The volume comes out at 219.9 Å³/cell. Its mass density is 6.393 g/cm³.

=====

The energy of each structure relative to the most stable one, in kJ/mol of atoms, is as follows: entry P 0.0; entry Q 7.2.

=====

Entry P
VASP calculation (PBE-GGA) on a geometry-optimized HoEr7Sc2 structure.

It has space group C2/m (No. 12), with a = 17.638 Å, b = 5.277 Å, c = 6.875 Å, α = 90.00°, β = 112.61° and γ = 90.00°. The asymmetric unit holds Ho at (0.000, 0.000, 0.000), Er at (0.000, 0.000, 0.500), Er at (0.112, 0.500, 0.862), Er at (0.113, 0.500, 0.364), Er at (0.202, 0.000, 0.203) and Sc at (0.199, 0.000, 0.700).

The volume comes out at 590.6 Å³/cell. Its mass density is 8.016 g/cm³.

=====

Entry Q
VASP calculation (PBE-GGA) on a geometry-optimized HoEr7Sc2 structure.

It has space group Cmmm (No. 65), with a = 8.688 Å, b = 15.078 Å, c = 5.501 Å, α = 90.00°, β = 90.00° and γ = 90.00°. The asymmetric unit holds Ho at (0.000, 0.000, 0.000), Er at (0.000, 0.236, 0.000), Er at (0.000, 0.500, 0.500), Er at (0.181, 0.119, 0.500) and Sc at (0.000, 0.294, 0.500).

The volume comes out at 720.6 Å³/cell. Its mass density is 6.570 g/cm³.

=====

The energy of each structure relative to the most stable one, in kJ/mol of atoms, is as follows: entry P 0.0; entry Q 60.8.